Fe2OsSe | GGA-PBE | relaxed

Structure (CIF):
```
data_Fe2OsSe
_symmetry_space_group_name_H-M 'I 4/m m m'
_symmetry_Int_Tables_number 139
_symmetry_space_group_name_Hall '-I 4 2'
_cell_length_a 3.7538
_cell_length_b 3.7538
_cell_length_c 7.2356
_cell_angle_alpha 90.00
_cell_angle_beta 90.00
_cell_angle_gamma 90.00
loop_
_atom_site_label
_atom_site_fract_x
_atom_site_fract_y
_atom_site_fract_z
Fe1 0.0000 0.5000 0.2500
Os1 0.0000 0.0000 0.0000
Se1 0.0000 0.0000 0.5000
```

## Properties
VASP energy ... -0.2676 Ha/atom
Energy relative to the elements, uncorrected ... 0.628 eV per atom